Record 1
Below is an optimized crystal structure of CuOs2Cl, with properties calculated at the PBE-GGA level.

Cell and atoms, written as POSCAR:
```
CuOs2Cl
1.0
2.863 0.000 0.000
0.000 2.869 -0.008
0.000 0.023 7.661
Os Cl Cu
2 1 1
direct
0.500 0.500 0.222
0.000 0.000 0.013
0.000 0.500 0.487
0.500 0.500 0.778
```

ΔE to the lowest computed polymorph: 0.0 kJ/mol of formula units
E_form (uncorrected): 0.349 eV/atom
V: 62.9 Å³ per cell
Symmetry: Pmm2, No. 25
Density of states at the Fermi level: 3.35 states/eV/cell
DFT total energy: -6.75 eV/atom
Magnetization: 0.0 Bohr magnetons per cell

---

Record 2
Below is an optimized crystal structure of SrPPt4, with properties calculated at the PBE-GGA level.

Cell and atoms, written as POSCAR:
```
SrPPt4
1.0
0.000 3.830 3.830
3.830 0.000 3.830
3.830 3.830 0.000
Pt P Sr
4 1 1
direct
0.374 0.877 0.374
0.374 0.374 0.374
0.374 0.374 0.877
0.877 0.374 0.374
0.000 0.000 0.000
0.750 0.750 0.750
```

DFT formation energy: -1.2 eV per formula unit
ΔE to the lowest computed polymorph: 208.7 kJ/mol of formula units
V: 112.3 Å³ per cell
Symmetry: F-43m, No. 216
Density of states at the Fermi level: 6.55 states/eV/cell
DFT total energy: -5.41 eV/atom
Magnetization: 0.0 Bohr magnetons per cell